1.
MgTaNO GGA-PBE relaxed; E above lowest polymorph = 0.98 eV/f.u.; VASP energy = -126.8 eV/cell; space-group type = No. 29
1.0
5.252 0.000 0.000
0.000 5.876 0.000
0.000 0.000 6.668
Mg N O Ta
4 4 4 4
Cartesian
5.123 0.547 2.595
2.497 2.390 2.595
5.123 3.485 4.073
2.497 5.328 4.073
3.055 0.443 2.338
0.429 2.495 2.338
3.055 3.381 4.330
0.429 5.432 4.330
3.229 3.596 1.169
0.604 5.218 1.169
3.229 0.658 5.499
0.604 2.280 5.499
0.159 3.300 0.645
2.785 5.513 0.645
0.159 0.362 6.023
2.785 2.575 6.023

***

2.
TaFeSb2 GGA-PBE relaxed; VASP energy = -25.9 eV/cell; space-group type = No. 216
1.0
-3.708 -2.727 1.405
-3.842 -0.493 -2.855
-0.856 -4.205 -2.178
Fe Sb Ta
1 2 1
Cartesian
-2.101 -1.856 -0.907
0.000 0.000 0.000
-6.304 -5.568 -2.721
-4.203 -3.712 -1.814

***

3.
CsTm2CuTeSe3 GGA-PBE relaxed; VASP energy = -76.0 eV/cell; space-group type = No. 63
1.0
2.101 -7.344 0.000
2.101 7.344 0.000
0.000 0.000 14.746
Cs Cu Se Te Tm
2 2 6 2 4
Cartesian
2.101 1.816 3.686
2.101 -1.816 11.059
2.101 -2.499 3.686
2.101 2.499 11.059
2.101 0.000 0.000
2.101 -3.717 1.505
2.101 -3.717 5.868
2.101 0.000 7.373
2.101 3.717 8.878
2.101 3.717 13.241
2.101 6.319 3.686
2.101 -6.319 11.059
2.101 5.389 0.821
2.101 5.389 6.552
2.101 -5.389 8.194
2.101 -5.389 13.925

***

4.
Gd5NiS2 GGA-PBE relaxed; VASP energy = -41.7 eV/cell; space-group type = No. 123
1.0
5.166 0.000 0.000
0.000 5.166 0.000
0.000 0.000 8.828
Gd Ni S
5 1 2
Cartesian
2.583 2.583 0.000
2.583 0.000 2.048
0.000 2.583 2.048
2.583 0.000 6.780
0.000 2.583 6.780
0.000 0.000 0.000
2.583 2.583 2.804
2.583 2.583 6.024

***

5.
BaFeHgTe3 GGA-PBE relaxed; E above lowest polymorph = 0.00 eV/f.u.; VASP energy = -45.4 eV/cell; space-group type = No. 63
1.0
2.278 -7.153 0.000
2.278 7.153 0.000
0.000 0.000 11.915
Ba Fe Hg Te
2 2 2 6
Cartesian
2.278 3.416 2.979
2.278 -3.416 8.936
2.278 -0.783 2.979
2.278 0.783 8.936
0.000 0.000 0.000
0.000 0.000 5.958
2.278 -2.078 0.754
2.278 -6.501 2.979
2.278 -2.078 5.204
2.278 2.078 6.711
2.278 6.501 8.936
2.278 2.078 11.162

***

6.
GdInI6 GGA-PBE relaxed; VASP energy = -24.1 eV/cell; space-group type = No. 5
1.0
-5.638 5.128 0.127
3.213 -1.980 -6.623
-4.081 -6.357 1.343
Gd I In
1 6 1
Cartesian
-4.170 3.949 -0.992
-4.355 2.116 -3.447
-1.204 -0.444 -5.730
-1.579 -0.812 -1.089
-5.014 -2.327 -3.998
-2.138 -5.306 -1.835
-5.228 -2.853 0.641
1.744 -0.801 -5.503

***

7.
LuTlMo2 GGA-PBE relaxed; VASP energy = -27.2 eV/cell; space-group type = No. 216
1.0
1.504 -4.310 1.389
-2.904 -2.852 2.490
-1.804 -3.924 -2.027
Lu Mo Tl
1 2 1
Cartesian
-0.801 -2.771 0.463
0.000 0.000 0.000
-2.403 -8.314 1.390
-1.602 -5.543 0.926

***

8.
Ta2InCo GGA-PBE relaxed; VASP energy = -32.0 eV/cell; space-group type = No. 216
1.0
0.419 -4.544 -0.351
-3.215 -2.738 1.766
-2.783 -2.347 -2.774
Co In Ta
1 1 2
Cartesian
-1.395 -2.407 -0.340
-2.789 -4.815 -0.679
0.000 0.000 0.000
-4.184 -7.222 -1.019